--- A ---
Density functional theory data (GGA-PBE) for a relaxed structure of ZnAgTe2.

CIF file:
```
data_ZnAgTe2
_chemical_formula_sum 'Zn1 Ag1 Te2'
_cell_length_a 4.6333
_cell_length_b 4.0666
_cell_length_c 5.6639
_cell_angle_alpha 90.00
_cell_angle_beta 105.56
_cell_angle_gamma 90.00
_space_group_name_H-M_alt 'P 1 2/m 1'
_space_group_IT_number 10
_space_group_name_Hall '-P 2y'
loop_
_atom_site_label
_atom_site_type_symbol
_atom_site_fract_x
_atom_site_fract_y
_atom_site_fract_z
_atom_site_occupancy
Zn1 Zn 0.0000 0.0000 0.0000 1
Ag1 Ag 0.5000 0.0000 0.5000 1
Te1 Te 0.2490 0.5000 0.7532 1
```

--- B ---
Density functional theory data (GGA-PBE) for a relaxed structure of ZnAgTe2.

CIF file:
```
data_ZnAgTe2
_chemical_formula_sum 'Zn2 Ag2 Te4'
_cell_length_a 3.9522
_cell_length_b 4.8832
_cell_length_c 10.3419
_cell_angle_alpha 90.00
_cell_angle_beta 90.00
_cell_angle_gamma 90.00
_space_group_name_H-M_alt 'C m m 2'
_space_group_IT_number 35
_space_group_name_Hall 'C 2 -2'
loop_
_atom_site_label
_atom_site_type_symbol
_atom_site_fract_x
_atom_site_fract_y
_atom_site_fract_z
_atom_site_occupancy
Zn1 Zn 0.0000 0.0000 0.0000 1
Ag1 Ag 0.0000 0.5000 0.8230 1
Te1 Te 0.0000 0.0000 0.5805 1
Te2 Te 0.0000 0.5000 0.2220 1
```

--- C ---
Density functional theory data (GGA-PBE) for a relaxed structure of ZnAgTe2.

CIF file:
```
data_ZnAgTe2
_chemical_formula_sum 'Zn3 Ag3 Te6'
_cell_length_a 3.9975
_cell_length_b 3.9975
_cell_length_c 25.4424
_cell_angle_alpha 90.00
_cell_angle_beta 90.00
_cell_angle_gamma 120.00
_space_group_name_H-M_alt 'R -3 m'
_space_group_IT_number 166
_space_group_name_Hall '-R 3 2"'
loop_
_atom_site_label
_atom_site_type_symbol
_atom_site_fract_x
_atom_site_fract_y
_atom_site_fract_z
_atom_site_occupancy
Zn1 Zn 0.0000 0.0000 0.0000 1
Ag1 Ag 0.0000 0.0000 0.5000 1
Te1 Te 0.0000 0.0000 0.3958 1
```

--- D ---
Density functional theory data (GGA-PBE) for a relaxed structure of ZnAgTe2.

CIF file:
```
data_ZnAgTe2
_chemical_formula_sum 'Zn4 Ag4 Te8'
_cell_length_a 7.2877
_cell_length_b 7.2877
_cell_length_c 7.2877
_cell_angle_alpha 90.00
_cell_angle_beta 90.00
_cell_angle_gamma 90.00
_space_group_name_H-M_alt 'F -4 3 m'
_space_group_IT_number 216
_space_group_name_Hall 'F -4 2 3'
loop_
_atom_site_label
_atom_site_type_symbol
_atom_site_fract_x
_atom_site_fract_y
_atom_site_fract_z
_atom_site_occupancy
Zn1 Zn 0.0000 0.0000 0.0000 1
Ag1 Ag 0.2500 0.2500 0.2500 1
Te1 Te 0.0000 0.0000 0.5000 1
Te2 Te 0.2500 0.2500 0.7500 1
```

Which one sits at the bottom of the stability order? D does.

--- A ---
Density functional theory data (GGA-PBE) for a relaxed structure of ZnAgTe2.

CIF file:
```
data_ZnAgTe2
_chemical_formula_sum 'Zn1 Ag1 Te2'
_cell_length_a 3.1153
_cell_length_b 3.1153
_cell_length_c 10.4520
_cell_angle_alpha 90.00
_cell_angle_beta 90.00
_cell_angle_gamma 90.00
_space_group_name_H-M_alt 'P 4 m m'
_space_group_IT_number 99
_space_group_name_Hall 'P 4 -2'
loop_
_atom_site_label
_atom_site_type_symbol
_atom_site_fract_x
_atom_site_fract_y
_atom_site_fract_z
_atom_site_occupancy
Zn1 Zn 0.0000 0.0000 0.0000 1
Ag1 Ag 0.5000 0.5000 0.1609 1
Te1 Te 0.0000 0.0000 0.4033 1
Te2 Te 0.5000 0.5000 0.7668 1
```

--- B ---
Density functional theory data (GGA-PBE) for a relaxed structure of ZnAgTe2.

CIF file:
```
data_ZnAgTe2
_chemical_formula_sum 'Zn2 Ag2 Te4'
_cell_length_a 4.8508
_cell_length_b 4.8508
_cell_length_c 8.1096
_cell_angle_alpha 90.00
_cell_angle_beta 90.00
_cell_angle_gamma 90.00
_space_group_name_H-M_alt 'I 4/m m m'
_space_group_IT_number 139
_space_group_name_Hall '-I 4 2'
loop_
_atom_site_label
_atom_site_type_symbol
_atom_site_fract_x
_atom_site_fract_y
_atom_site_fract_z
_atom_site_occupancy
Zn1 Zn 0.0000 0.0000 0.0000 1
Ag1 Ag 0.0000 0.0000 0.5000 1
Te1 Te 0.0000 0.5000 0.2500 1
```

Which one sits at the bottom of the stability order? B does.

--- A ---
Density functional theory data (GGA-PBE) for a relaxed structure of ZnAgTe2.

CIF file:
```
data_ZnAgTe2
_chemical_formula_sum 'Zn3 Ag3 Te6'
_cell_length_a 4.0771
_cell_length_b 4.0771
_cell_length_c 20.3753
_cell_angle_alpha 90.00
_cell_angle_beta 90.00
_cell_angle_gamma 120.00
_space_group_name_H-M_alt 'R -3 m'
_space_group_IT_number 166
_space_group_name_Hall '-R 3 2"'
loop_
_atom_site_label
_atom_site_type_symbol
_atom_site_fract_x
_atom_site_fract_y
_atom_site_fract_z
_atom_site_occupancy
Zn1 Zn 0.0000 0.0000 0.0000 1
Ag1 Ag 0.0000 0.0000 0.5000 1
Te1 Te 0.0000 0.0000 0.2534 1
```

--- B ---
Density functional theory data (GGA-PBE) for a relaxed structure of ZnAgTe2.

CIF file:
```
data_ZnAgTe2
_chemical_formula_sum 'Zn4 Ag4 Te8'
_cell_length_a 6.3268
_cell_length_b 6.3268
_cell_length_c 12.2230
_cell_angle_alpha 90.00
_cell_angle_beta 90.00
_cell_angle_gamma 90.00
_space_group_name_H-M_alt 'I -4 2 d'
_space_group_IT_number 122
_space_group_name_Hall 'I -4 2bw'
loop_
_atom_site_label
_atom_site_type_symbol
_atom_site_fract_x
_atom_site_fract_y
_atom_site_fract_z
_atom_site_occupancy
Zn1 Zn 0.0000 0.0000 0.0000 1
Ag1 Ag 0.0000 0.0000 0.5000 1
Te1 Te 0.2365 0.2500 0.1250 1
```

--- C ---
Density functional theory data (GGA-PBE) for a relaxed structure of ZnAgTe2.

CIF file:
```
data_ZnAgTe2
_chemical_formula_sum 'Zn2 Ag2 Te4'
_cell_length_a 6.2451
_cell_length_b 8.1821
_cell_length_c 4.5713
_cell_angle_alpha 90.00
_cell_angle_beta 118.78
_cell_angle_gamma 90.00
_space_group_name_H-M_alt 'C 1 2/m 1'
_space_group_IT_number 12
_space_group_name_Hall '-C 2y'
loop_
_atom_site_label
_atom_site_type_symbol
_atom_site_fract_x
_atom_site_fract_y
_atom_site_fract_z
_atom_site_occupancy
Zn1 Zn 0.0000 0.0000 0.0000 1
Ag1 Ag 0.0000 0.5000 0.0000 1
Te1 Te 0.2500 0.2500 0.5000 1
```

Which one sits at the bottom of the stability order? C does.

--- A ---
Density functional theory data (GGA-PBE) for a relaxed structure of ZnAgTe2.

CIF file:
```
data_ZnAgTe2
_chemical_formula_sum 'Zn1 Ag1 Te2'
_cell_length_a 5.6529
_cell_length_b 5.6529
_cell_length_c 3.0336
_cell_angle_alpha 90.00
_cell_angle_beta 90.00
_cell_angle_gamma 90.00
_space_group_name_H-M_alt 'P 4/m m m'
_space_group_IT_number 123
_space_group_name_Hall '-P 4 2'
loop_
_atom_site_label
_atom_site_type_symbol
_atom_site_fract_x
_atom_site_fract_y
_atom_site_fract_z
_atom_site_occupancy
Zn1 Zn 0.0000 0.0000 0.0000 1
Ag1 Ag 0.5000 0.5000 0.0000 1
Te1 Te 0.0000 0.5000 0.5000 1
```

--- B ---
Density functional theory data (GGA-PBE) for a relaxed structure of ZnAgTe2.

CIF file:
```
data_ZnAgTe2
_chemical_formula_sum 'Zn1 Ag1 Te2'
_cell_length_a 3.8786
_cell_length_b 3.8786
_cell_length_c 7.3472
_cell_angle_alpha 90.00
_cell_angle_beta 90.00
_cell_angle_gamma 90.00
_space_group_name_H-M_alt 'P 4 m m'
_space_group_IT_number 99
_space_group_name_Hall 'P 4 -2'
loop_
_atom_site_label
_atom_site_type_symbol
_atom_site_fract_x
_atom_site_fract_y
_atom_site_fract_z
_atom_site_occupancy
Zn1 Zn 0.0000 0.0000 0.0000 1
Ag1 Ag 0.5000 0.5000 0.2642 1
Te1 Te 0.0000 0.0000 0.3738 1
Te2 Te 0.5000 0.5000 0.8692 1
```

Which one sits at the bottom of the stability order? A does.

--- A ---
Density functional theory data (GGA-PBE) for a relaxed structure of ZnAgTe2.

CIF file:
```
data_ZnAgTe2
_chemical_formula_sum 'Zn3 Ag3 Te6'
_cell_length_a 3.2598
_cell_length_b 3.2598
_cell_length_c 32.2785
_cell_angle_alpha 90.00
_cell_angle_beta 90.00
_cell_angle_gamma 120.00
_space_group_name_H-M_alt 'R 3 m'
_space_group_IT_number 160
_space_group_name_Hall 'R 3 -2"'
loop_
_atom_site_label
_atom_site_type_symbol
_atom_site_fract_x
_atom_site_fract_y
_atom_site_fract_z
_atom_site_occupancy
Zn1 Zn 0.0000 0.0000 0.0000 1
Ag1 Ag 0.0000 0.0000 0.2733 1
Te1 Te 0.0000 0.0000 0.5284 1
Te2 Te 0.0000 0.0000 0.7393 1
```

--- B ---
Density functional theory data (GGA-PBE) for a relaxed structure of ZnAgTe2.

CIF file:
```
data_ZnAgTe2
_chemical_formula_sum 'Zn1 Ag1 Te2'
_cell_length_a 3.9016
_cell_length_b 4.0157
_cell_length_c 7.1513
_cell_angle_alpha 90.00
_cell_angle_beta 90.00
_cell_angle_gamma 90.00
_space_group_name_H-M_alt 'P m m m'
_space_group_IT_number 47
_space_group_name_Hall '-P 2 2'
loop_
_atom_site_label
_atom_site_type_symbol
_atom_site_fract_x
_atom_site_fract_y
_atom_site_fract_z
_atom_site_occupancy
Zn1 Zn 0.0000 0.0000 0.0000 1
Ag1 Ag 0.0000 0.5000 0.5000 1
Te1 Te 0.5000 0.0000 0.5000 1
Te2 Te 0.5000 0.5000 0.0000 1
```

--- C ---
Density functional theory data (GGA-PBE) for a relaxed structure of ZnAgTe2.

CIF file:
```
data_ZnAgTe2
_chemical_formula_sum 'Zn2 Ag2 Te4'
_cell_length_a 8.4847
_cell_length_b 3.5117
_cell_length_c 7.3047
_cell_angle_alpha 90.00
_cell_angle_beta 94.82
_cell_angle_gamma 90.00
_space_group_name_H-M_alt 'C 1 m 1'
_space_group_IT_number 8
_space_group_name_Hall 'C -2y'
loop_
_atom_site_label
_atom_site_type_symbol
_atom_site_fract_x
_atom_site_fract_y
_atom_site_fract_z
_atom_site_occupancy
Zn1 Zn 0.0000 0.0000 0.0000 1
Ag1 Ag 0.2654 0.0000 0.8191 1
Te1 Te 0.0288 0.5000 0.6307 1
Te2 Te 0.2319 0.5000 0.1774 1
```

Which one sits at the bottom of the stability order? A does.

--- A ---
Density functional theory data (GGA-PBE) for a relaxed structure of ZnAgTe2.

CIF file:
```
data_ZnAgTe2
_chemical_formula_sum 'Zn2 Ag2 Te4'
_cell_length_a 3.9583
_cell_length_b 6.6667
_cell_length_c 8.0293
_cell_angle_alpha 90.00
_cell_angle_beta 90.00
_cell_angle_gamma 90.00
_space_group_name_H-M_alt 'C m m m'
_space_group_IT_number 65
_space_group_name_Hall '-C 2 2'
loop_
_atom_site_label
_atom_site_type_symbol
_atom_site_fract_x
_atom_site_fract_y
_atom_site_fract_z
_atom_site_occupancy
Zn1 Zn 0.0000 0.0000 0.0000 1
Ag1 Ag 0.0000 0.0000 0.5000 1
Te1 Te 0.0000 0.5000 0.2410 1
```

--- B ---
Density functional theory data (GGA-PBE) for a relaxed structure of ZnAgTe2.

CIF file:
```
data_ZnAgTe2
_chemical_formula_sum 'Zn2 Ag2 Te4'
_cell_length_a 3.8439
_cell_length_b 3.9960
_cell_length_c 13.0069
_cell_angle_alpha 90.00
_cell_angle_beta 90.00
_cell_angle_gamma 90.00
_space_group_name_H-M_alt 'I m m 2'
_space_group_IT_number 44
_space_group_name_Hall 'I 2 -2'
loop_
_atom_site_label
_atom_site_type_symbol
_atom_site_fract_x
_atom_site_fract_y
_atom_site_fract_z
_atom_site_occupancy
Zn1 Zn 0.0000 0.0000 0.0000 1
Ag1 Ag 0.0000 0.5000 0.7450 1
Te1 Te 0.0000 0.0000 0.5775 1
Te2 Te 0.0000 0.5000 0.3366 1
```

Which one sits at the bottom of the stability order? A does.